## Sm2TaN3 (GGA-PBE)

Data for a geometry-optimized Sm2TaN3 structure.

Summary:
- polymorph energy (0 for the lowest one) (meV/atom) = 0
- volume (Å³ per cell) = 373.22
- calculated density (g/cm³) = 9.320

abc: 5.5381 6.1780 12.2394
angles: 88.01 85.55 63.37
Last column: nearest neighbours and their distance in Å.
Atoms (fractional coordinates):
Sm (0.5800, 0.3986, 0.3604)  5 N 2.44-2.71
Sm (0.0214, 0.3986, 0.1396)  5 N 2.44-2.71
Sm (0.4200, 0.6014, 0.6396)  5 N 2.44-2.71
Sm (0.9786, 0.6014, 0.8604)  5 N 2.44-2.71
Sm (0.3377, 0.7704, 0.0781)  3 N 2.38-2.57
Sm (0.8919, 0.7704, 0.4219)  3 N 2.38-2.57
Sm (0.6623, 0.2296, 0.9219)  3 N 2.38-2.57
Sm (0.1081, 0.2296, 0.5781)  3 N 2.38-2.57
Ta (0.6995, 0.0077, 0.1695)  4 N 1.98-2.17
Ta (0.2929, 0.0077, 0.3305)  4 N 1.98-2.17
Ta (0.3005, 0.9923, 0.8305)  4 N 1.98-2.17
Ta (0.7071, 0.9923, 0.6695)  4 N 1.98-2.17
N (0.6431, 0.7139, 0.2500)  2 Ta 2.17
N (0.3569, 0.2861, 0.7500)  2 Ta 2.17
N (0.5162, 0.3475, 0.1140)  1 Ta 2.00
N (0.1363, 0.3475, 0.3860)  1 Ta 2.00
N (0.4838, 0.6525, 0.8860)  1 Ta 2.00
N (0.8637, 0.6525, 0.6140)  1 Ta 2.00
N (0.6718, 0.2037, 0.5395)  1 Ta 1.99
N (0.1245, 0.2037, 0.9605)  1 Ta 1.99
N (0.3282, 0.7963, 0.4605)  1 Ta 1.99
N (0.8755, 0.7963, 0.0395)  1 Ta 1.99
N (0.9884, 0.0232, 0.2500)  2 Ta 1.98
N (0.0116, 0.9768, 0.7500)  2 Ta 1.98

## SmTaN3 (GGA-PBE)

Data for a geometry-optimized SmTaN3 structure.

Summary:
- final energy (eV per cell) = -46.15
- volume (Å³ per cell) = 67.53
- calculated density (g/cm³) = 9.180

abc: 4.0722 4.0722 4.0722
angles: 90.00 90.00 90.00
Last column: nearest neighbours and their distance in Å.
Atoms (fractional coordinates):
N (0.0000, 0.5000, 0.0000)  2 Ta 2.04
N (0.0000, 0.0000, 0.5000)  2 Ta 2.04
N (0.5000, 0.0000, 0.0000)  2 Ta 2.04
Sm (0.5000, 0.5000, 0.5000)  12 N 2.88
Ta (0.0000, 0.0000, 0.0000)  6 N 2.04

## Sm3TaN4 (GGA-PBE)

Data for a geometry-optimized Sm3TaN4 structure.

Summary:
- polymorph energy (0 for the lowest one) (meV/atom) = 29
- volume (Å³ per cell) = 125.60
- calculated density (g/cm³) = 9.097

abc: 5.0087 5.0087 5.0087
angles: 90.94 90.94 90.94
Last column: nearest neighbours and their distance in Å.
Atoms (fractional coordinates):
N (0.7573, 0.7573, 0.7573)  6 Sm 2.47-2.53
N (0.6750, 0.2579, 0.2580)  1 Ta 1.96
N (0.2580, 0.6750, 0.2579)  1 Ta 1.96
N (0.2579, 0.2580, 0.6750)  1 Ta 1.96
Sm (0.2514, 0.7567, 0.7566)  6 N 2.47-2.55
Sm (0.7566, 0.2514, 0.7567)  6 N 2.47-2.55
Sm (0.7567, 0.7566, 0.2514)  6 N 2.47-2.55
Ta (0.2870, 0.2870, 0.2870)  3 N 1.96

## SmTaN3 (GGA-PBE)

Data for a geometry-optimized SmTaN3 structure.

Summary:
- final energy (eV per cell) = -92.13
- volume (Å³ per cell) = 133.83
- calculated density (g/cm³) = 9.264

abc: 3.2050 6.5136 6.4753
angles: 98.11 90.00 90.00
Last column: nearest neighbours and their distance in Å.
Atoms (fractional coordinates):
Sm (0.2500, 0.3457, 0.2286)  7 N 2.36-2.58
Sm (0.7500, 0.6543, 0.7714)  7 N 2.36-2.58
Ta (0.2500, 0.8399, 0.3223)  3 N 1.92-2.13
Ta (0.7500, 0.1601, 0.6777)  3 N 1.92-2.13
N (0.7500, 0.6391, 0.3770)  2 Ta 2.13
N (0.2500, 0.3609, 0.6230)  2 Ta 2.13
N (0.7500, 0.3027, 0.9581)  1 Ta 1.92
N (0.2500, 0.9370, 0.6775)  3 Ta 2.16-2.30
N (0.2500, 0.6973, 0.0419)  1 Ta 1.92
N (0.7500, 0.0630, 0.3225)  3 Ta 2.16-2.30

Question: calculated density of number 3 (Sm3TaN4)?
Answer: 9.097 g/cm³

Question: The highest volume belongs to which entry?
Answer: Sm2TaN3